VASP calculation (GGA-PBE) on an optimized crystal structure of CsSrP2.

Values from the calculation:
Energy above the lowest structure with this stoichiometry: 16.4 kJ/mol of atoms

Lattice parameters (Å, degrees): 5.554 5.554 5.554 60.00 60.00 60.00
Fractional positions:
Cs (0.000, 0.000, 0.000)
Sr (0.500, 0.500, 0.500)
P (0.250, 0.250, 0.250)
P (0.750, 0.750, 0.750)

---

VASP calculation (GGA-PBE) on an optimized crystal structure of KFeN.

Values from the calculation:
Energy above the lowest structure with this stoichiometry: 10.0 kJ/mol of atoms

Lattice parameters (Å, degrees): 6.107 3.483 6.206 90.00 109.65 90.00
Fractional positions:
K (0.177, 0.250, 0.292)
K (0.823, 0.750, 0.708)
Fe (0.385, 0.250, 0.892)
Fe (0.615, 0.750, 0.108)
N (0.298, 0.750, 0.922)
N (0.702, 0.250, 0.078)

---

VASP calculation (GGA-PBE) on an optimized crystal structure of Dy5Er2Bi4.

Lattice parameters (Å, degrees): 13.299 13.299 7.624 90.72 90.72 15.04
Fractional positions:
Dy (0.000, 0.000, 0.000)
Dy (0.262, 0.262, 0.203)
Dy (0.358, 0.358, 0.866)
Dy (0.642, 0.642, 0.134)
Dy (0.738, 0.738, 0.797)
Er (0.412, 0.412, 0.303)
Er (0.588, 0.588, 0.697)
Bi (0.173, 0.173, 0.493)
Bi (0.464, 0.464, 0.678)
Bi (0.536, 0.536, 0.322)
Bi (0.827, 0.827, 0.507)

---

VASP calculation (GGA-PBE) on an optimized crystal structure of Y5Bi2Ru.

Lattice parameters (Å, degrees): 6.271 6.401 6.550 118.04 96.40 95.98
Fractional positions:
Y (0.000, 0.000, 0.000)
Y (0.104, 0.534, 0.010)
Y (0.436, 0.600, 0.610)
Y (0.561, 0.296, 0.008)
Y (0.792, 0.993, 0.475)
Bi (0.300, 0.041, 0.484)
Bi (0.916, 0.503, 0.477)
Ru (0.536, 0.802, 0.063)

---

Number 1: ρ 3.9 g cm⁻³, total magnetic moment 0.00 μB per cell, calculated total energy -3.29 eV per atom. Number 2: ρ 2.9 g cm⁻³, total magnetic moment 4.00 μB per cell, calculated total energy -5.90 eV per atom. Number 3: ρ 9.4 g cm⁻³, total magnetic moment 0.00 μB per cell, calculated total energy -4.60 eV per atom. Number 4: ρ 7.1 g cm⁻³, total magnetic moment 0.00 μB per cell, calculated total energy -6.58 eV per atom.